Density functional theory data (PBE-GGA) for a relaxed Tm4ScBi3 crystal.

Output
Its calculated total energy is -4.96 eV per atom.

Structure (CIF):
```
data_Tm4ScBi3
_chemical_formula_sum 'Tm8 Sc2 Bi6'
_cell_length_a 11.291
_cell_length_b 4.176
_cell_length_c 10.781
_cell_angle_alpha 90.00
_cell_angle_beta 118.45
_cell_angle_gamma 90.00
_symmetry_space_group_name_H-M 'C 1 2/m 1'
_symmetry_Int_Tables_number 12
_symmetry_space_group_name_Hall '-C 2y'
loop_
_atom_site_label
_atom_site_type_symbol
_atom_site_fract_x
_atom_site_fract_y
_atom_site_fract_z
Tm1 Tm 0.035 0.000 0.264
Tm2 Tm 0.240 0.500 0.871
Sc1 Sc 0.000 0.500 0.500
Bi1 Bi 0.000 0.500 0.000
Bi2 Bi 0.213 0.000 0.627
```